No. 1
VASP calculation (PBE) on a relaxed structure of TbTmOs.

Results
E = -7.01 eV/atom
Crystal system = cubic
Space-group type = F-43m
ΔE_f = -0.23 eV/atom

a b c (Å): 4.7582 4.7582 4.7582
angles (deg): 60.00 60.00 60.00
With the nearest neighbours (Å) after each atom.
Fractional coordinates of all 3 atoms:
Tb: 0.5000 0.5000 0.5000  4 Os 2.91
Tm: 0.0000 0.0000 0.0000  4 Os 2.91
Os: 0.2500 0.2500 0.2500  4 Tb 2.91, 4 Tm 2.91

No. 2
VASP calculation (PBE) on a relaxed structure of TcAu3Cl.

Results
Formation energy from raw total energies = 1.52 eV per atom
E = -2.88 eV/atom
Crystal system = cubic
Space-group type = Pm-3m

a b c (Å): 4.9092 4.9092 4.9092
angles (deg): 90.00 90.00 90.00
With the nearest neighbours (Å) after each atom.
Fractional coordinates of all 5 atoms:
Au: 0.0000 0.5000 0.0000  2 Cl 2.45
Au: 0.0000 0.0000 0.5000  2 Cl 2.45
Au: 0.5000 0.0000 0.0000  2 Cl 2.45
Tc: 0.5000 0.5000 0.5000  12 Au 3.47
Cl: 0.0000 0.0000 0.0000  6 Au 2.45

No. 3
VASP calculation (PBE) on a relaxed structure of PmYAg2.

Results
E = -4.52 eV/atom
Crystal system = cubic
Space-group type = Fm-3m
ΔE_f = -0.29 eV/atom

a b c (Å): 5.2226 5.2226 5.2226
angles (deg): 60.00 60.00 60.00
With the nearest neighbours (Å) after each atom.
Fractional coordinates of all 4 atoms:
Y: 0.5000 0.5000 0.5000  8 Ag 3.20
Ag: 0.2500 0.2500 0.2500  4 Pm 3.20, 4 Y 3.20
Ag: 0.7500 0.7500 0.7500  4 Pm 3.20, 4 Y 3.20
Pm: 0.0000 0.0000 0.0000  8 Ag 3.20

No. 4
VASP calculation (PBE) on a relaxed structure of Cs3ZrPt.

Results
E = -2.07 eV/atom
Crystal system = cubic
Space-group type = Pm-3m
ΔE_f = 1.36 eV/atom

a b c (Å): 6.5602 6.5602 6.5602
angles (deg): 90.00 90.00 90.00
With the nearest neighbours (Å) after each atom.
Fractional coordinates of all 5 atoms:
Cs: 0.0000 0.5000 0.0000  2 Zr 3.28
Cs: 0.0000 0.0000 0.5000  2 Zr 3.28
Cs: 0.5000 0.0000 0.0000  2 Zr 3.28
Zr: 0.0000 0.0000 0.0000  6 Cs 3.28
Pt: 0.5000 0.5000 0.5000  12 Cs 4.64

No. 5
VASP calculation (PBE) on a relaxed structure of RbNa6Sr.

Results
E = -1.28 eV/atom
Crystal system = orthorhombic
Space-group type = Pmm2
ΔE_f = 0.05 eV/atom

a b c (Å): 6.4362 6.8805 8.1570
angles (deg): 90.00 90.00 90.00
With the nearest neighbours (Å) after each atom.
Fractional coordinates of all 8 atoms:
Rb: 0.0000 0.6540 0.0000  12 Na 4.01-4.15
Na: 0.5000 0.8491 0.2675  6 Na 3.65-3.88, 2 Sr 3.92-3.93
Na: 0.0000 0.1633 0.7345  7 Na 3.72-4.16, 2 Sr 3.95, 2 Rb 4.01-4.12
Na: 0.0000 0.1633 0.2655  7 Na 3.72-4.16, 2 Sr 3.95, 2 Rb 4.01-4.12
Na: 0.5000 0.8491 0.7325  6 Na 3.65-3.88, 2 Sr 3.92-3.93
Na: 0.0000 0.6997 0.5000  8 Na 3.72-4.16, 2 Sr 4.03, 2 Rb 4.09
Na: 0.5000 0.2735 0.0000  6 Na 3.65-3.95
Sr: 0.5000 0.3481 0.5000  12 Na 3.92-4.11

No. 6
VASP calculation (PBE) on a relaxed structure of Ac8Ir3PtAu4.

Results
E = -5.75 eV/atom
Crystal system = trigonal
Space-group type = R-3m
ΔE_f = -0.83 eV/atom

a b c (Å): 8.8170 9.0043 8.8178
angles (deg): 119.32 120.00 90.00
With the nearest neighbours (Å) after each atom.
Fractional coordinates of all 16 atoms:
Ac: 0.2439 0.7225 0.9787  2 Ir 3.02, 1 Pt 3.07, 3 Au 3.24-3.29
Ac: 0.2438 0.7222 0.4876  2 Ir 3.01, 1 Pt 3.07, 3 Au 3.24-3.29
Ac: 0.2599 0.2797 0.5198  3 Ir 3.03, 3 Au 3.29
Ac: 0.7348 0.7225 0.9787  2 Ir 3.02, 1 Pt 3.07, 3 Au 3.24-3.29
Ac: 0.2652 0.2775 0.0213  2 Ir 3.02, 1 Pt 3.07, 3 Au 3.24-3.29
Ac: 0.7401 0.7203 0.4802  3 Ir 3.03, 3 Au 3.29
Ac: 0.7562 0.2778 0.5124  2 Ir 3.01, 1 Pt 3.07, 3 Au 3.24-3.29
Ac: 0.7561 0.2775 0.0213  2 Ir 3.02, 1 Pt 3.07, 3 Au 3.24-3.29
Ir: 0.5000 0.5000 0.0000  6 Ac 3.02-3.03
Ir: 0.5000 0.5000 0.5000  6 Ac 3.01-3.03
Ir: 0.0000 0.5000 0.5000  6 Ac 3.01-3.03
Pt: 0.0000 0.5000 0.0000  6 Ac 3.07
Au: 0.5000 0.0000 0.0000  6 Ac 3.24
Au: 0.5000 0.0000 0.5000  6 Ac 3.29
Au: 0.0000 0.0000 0.0000  6 Ac 3.29
Au: 0.0000 0.0000 0.5000  6 Ac 3.29

No. 7
VASP calculation (PBE) on a relaxed structure of Ga3ReF.

Results
Formation energy from raw total energies = 0.01 eV per atom
E = -4.67 eV/atom
Crystal system = cubic
Space-group type = Pm-3m

a b c (Å): 4.8564 4.8564 4.8564
angles (deg): 90.00 90.00 90.00
With the nearest neighbours (Å) after each atom.
Fractional coordinates of all 5 atoms:
Re: 0.0000 0.0000 0.0000  6 Ga 2.43
Ga: 0.0000 0.5000 0.0000  2 Re 2.43
Ga: 0.0000 0.0000 0.5000  2 Re 2.43
Ga: 0.5000 0.0000 0.0000  2 Re 2.43
F: 0.5000 0.5000 0.5000  12 Ga 3.43

No. 8
VASP calculation (PBE) on a relaxed structure of PmSm2Y5Ho.

Results
E = -5.42 eV/atom
Crystal system = tetragonal
Space-group type = I4/mcm
ΔE_f = 0.26 eV/atom

a b c (Å): 8.7777 8.7777 9.8890
angles (deg): 116.35 116.35 90.00
With the nearest neighbours (Å) after each atom.
Fractional coordinates of all 18 atoms:
Pm: 0.2500 0.2500 0.5000  10 Y 3.60-3.85
Pm: 0.7500 0.7500 0.5000  10 Y 3.60-3.85
Sm: 0.1157 0.3843 0.0000  1 Sm 2.87, 2 Y 3.03
Sm: 0.6157 0.1157 0.0000  1 Sm 2.87, 2 Y 3.03
Sm: 0.3843 0.8843 0.0000  1 Sm 2.87, 2 Y 3.03
Sm: 0.8843 0.6157 0.0000  1 Sm 2.87, 2 Y 3.03
Y: 0.9281 0.4281 0.2729  1 Sm 3.03, 1 Ho 3.12
Y: 0.6552 0.1552 0.7271  1 Sm 3.03, 1 Ho 3.12
Y: 0.0719 0.5719 0.7271  1 Sm 3.03, 1 Ho 3.12
Y: 0.1552 0.0719 0.7271  1 Sm 3.03, 1 Ho 3.12
Y: 0.5719 0.6552 0.7271  1 Sm 3.03, 1 Ho 3.12
Y: 0.8448 0.9281 0.2729  1 Sm 3.03, 1 Ho 3.12
Y: 0.4281 0.3448 0.2729  1 Sm 3.03, 1 Ho 3.12
Y: 0.3448 0.8448 0.2729  1 Sm 3.03, 1 Ho 3.12
Y: 0.5000 0.5000 0.0000  4 Sm 3.52, 8 Y 3.78, 2 Pm 3.85
Y: 0.0000 0.0000 0.0000  4 Sm 3.52, 8 Y 3.78, 2 Pm 3.85
Ho: 0.2500 0.7500 0.5000  4 Y 3.12
Ho: 0.7500 0.2500 0.5000  4 Y 3.12

No. 9
VASP calculation (PBE) on a relaxed structure of Te2IrPbI.

Results
Formation energy from raw total energies = 1.50 eV per atom
E = -2.58 eV/atom
Crystal system = tetragonal
Space-group type = P4/mmm

a b c (Å): 5.8519 5.8519 5.9781
angles (deg): 90.00 90.00 90.00
With the nearest neighbours (Å) after each atom.
Fractional coordinates of all 5 atoms:
Pb: 0.0000 0.0000 0.0000  4 Te 2.93, 2 I 2.99
I: 0.0000 0.0000 0.5000  2 Pb 2.99
Ir: 0.5000 0.5000 0.5000  4 I 4.14, 8 Te 4.18
Te: 0.0000 0.5000 0.0000  2 Pb 2.93
Te: 0.5000 0.0000 0.0000  2 Pb 2.93

No. 10
VASP calculation (PBE) on a relaxed structure of Tb4Y6Er.

Results
E = -5.47 eV/atom
Crystal system = hexagonal
Space-group type = P-6m2
ΔE_f = 0.16 eV/atom

a b c (Å): 3.5537 10.8992 10.8992
angles (deg): 120.00 90.00 90.00
With the nearest neighbours (Å) after each atom.
Fractional coordinates of all 11 atoms:
Tb: 0.5000 0.8408 0.6816  6 Y 3.24-3.54, 2 Er 3.49, 2 Tb 3.55
Tb: 0.5000 0.3184 0.1592  6 Y 3.24-3.54, 2 Er 3.49, 2 Tb 3.55
Tb: 0.5000 0.8408 0.1592  6 Y 3.24-3.54, 2 Er 3.49, 2 Tb 3.55
Tb: 0.0000 0.3333 0.6667  9 Y 3.36-3.53, 2 Tb 3.55
Y: 0.0000 0.5205 0.0410  5 Tb 3.53-3.54, 6 Y 3.55-3.70
Y: 0.5000 0.6357 0.8179  4 Tb 3.24-3.36, 2 Y 3.55
Y: 0.0000 0.5205 0.4795  5 Tb 3.53-3.54, 6 Y 3.55-3.70
Y: 0.0000 0.9590 0.4795  5 Tb 3.53-3.54, 6 Y 3.55-3.70
Y: 0.5000 0.1821 0.8179  4 Tb 3.24-3.36, 2 Y 3.55
Y: 0.5000 0.1821 0.3643  4 Tb 3.24-3.36, 2 Y 3.55
Er: 0.0000 0.0000 0.0000  6 Tb 3.49, 2 Er 3.55, 6 Y 3.87

No. 11
VASP calculation (PBE) on a relaxed structure of Tb4IrRh2.

Results
E = -6.76 eV/atom
Crystal system = orthorhombic
Space-group type = I2_12_12_1
ΔE_f = -0.75 eV/atom

a b c (Å): 7.4622 7.4635 7.4613
angles (deg): 109.35 109.34 109.73
With the nearest neighbours (Å) after each atom.
Fractional coordinates of all 14 atoms:
Tb: 0.0007 0.2523 0.3751  2 Rh 2.80, 1 Ir 2.80
Tb: 0.3732 0.4980 0.2487  2 Rh 2.80, 1 Ir 2.81
Tb: 0.8771 0.6259 0.6254  2 Rh 2.80, 1 Ir 2.80
Tb: 0.7478 0.1232 0.7489  2 Rh 2.80, 1 Ir 2.80
Tb: 0.3740 0.9985 0.2512  2 Rh 2.80, 1 Ir 2.80
Tb: 0.2492 0.1241 0.7509  2 Rh 2.80, 1 Ir 2.80
Tb: 0.5027 0.7513 0.8755  2 Rh 2.80, 1 Ir 2.81
Tb: 0.8755 0.6267 0.1248  2 Rh 2.80, 1 Ir 2.80
Ir: 0.2495 0.7493 0.4999  4 Tb 2.80-2.81
Ir: 0.0007 0.0008 0.0002  4 Tb 2.80
Rh: 0.5013 0.3750 0.6261  4 Tb 2.80
Rh: 0.7485 0.8752 0.3734  4 Tb 2.80
Rh: 0.6246 0.2527 0.1279  4 Tb 2.80
Rh: 0.1252 0.4970 0.8720  4 Tb 2.80

No. 12
VASP calculation (PBE) on a relaxed structure of Ti5GaSn4.

Results
E = -5.91 eV/atom
Crystal system = tetragonal
Space-group type = I4
ΔE_f = -0.06 eV/atom

a b c (Å): 5.5299 6.7614 6.7614
angles (deg): 80.37 65.86 65.86
With the nearest neighbours (Å) after each atom.
Fractional coordinates of all 10 atoms:
Ti: 0.8986 0.3867 0.8178  1 Ga 2.64, 5 Sn 2.77-2.80
Ti: 0.2853 0.8178 0.6133  1 Ga 2.64, 5 Sn 2.77-2.80
Ti: 0.7164 0.1822 0.3867  1 Ga 2.64, 5 Sn 2.77-2.80
Ti: 0.1030 0.6133 0.1822  1 Ga 2.64, 5 Sn 2.77-2.80
Ti: 0.5019 0.0000 0.0000  2 Ga 2.76-2.77, 4 Sn 2.79
Ga: 0.0018 0.0000 0.0000  6 Ti 2.64-2.77
Sn: 0.4084 0.3981 0.7867  6 Ti 2.77-2.80
Sn: 0.8065 0.7867 0.6019  6 Ti 2.77-2.80
Sn: 0.1951 0.2133 0.3981  6 Ti 2.77-2.80
Sn: 0.5932 0.6019 0.2133  6 Ti 2.77-2.80